Entry 1:
Below is RbGa2Ni2 after structural relaxation, with properties calculated at the PBE level.

Its space-group type is I4/mmm, No. 139. For the total energy, the calculation gives -0.276 Ry per atom. As for the energy of formation from the pure elements: -0.034 eV/atom. For the relative energy among the computed polymorphs, the calculation gives 0.000 eV per atom. Its total magnetization is 0.00 μB/f.u.

a b c (Å): 8.6930 8.6930 8.6930
angles (deg): 156.07 156.07 34.10
Positions (direct):
Rb1 0.0000 0.0000 0.0000
Ga1 0.3472 0.3472 0.0000
Ga2 0.6528 0.6528 0.0000
Ni1 0.2500 0.7500 0.5000
Ni2 0.7500 0.2500 0.5000


Entry 2:
Below is CsTcTe2 after structural relaxation, with properties calculated at the PBE level.

Its space-group type is Fm-3m, No. 225. For the total energy, the calculation gives -0.272 Ry per atom. For the relative energy among the computed polymorphs, the calculation gives 0.880 eV per atom. For the uncorrected formation energy, the calculation gives 0.678 eV per atom. Its total magnetization is 0.00 μB/f.u.

a b c (Å): 5.3327 5.3327 5.3327
angles (deg): 60.00 60.00 60.00
Positions (direct):
Cs1 0.0000 0.0000 0.0000
Tc1 0.5000 0.5000 0.5000
Te1 0.2500 0.2500 0.2500
Te2 0.7500 0.7500 0.7500


Entry 3:
Below is CuPSe2Br after structural relaxation, with properties calculated at the PBE level.

Its space-group type is P4/mmm, No. 123. For the total energy, the calculation gives -0.220 Ry per atom. For the relative energy among the computed polymorphs, the calculation gives 0.000 eV per atom. For the uncorrected formation energy, the calculation gives 0.634 eV per atom. Its total magnetization is 0.00 μB/f.u.

a b c (Å): 4.8294 4.8294 5.0958
angles (deg): 90.00 90.00 90.00
Positions (direct):
Cu1 0.0000 0.0000 0.0000
P1 0.5000 0.5000 0.5000
Se1 0.0000 0.5000 0.5000
Se2 0.5000 0.0000 0.5000
Br1 0.5000 0.5000 0.0000


Entry 4:
Below is Li2ZrHg after structural relaxation, with properties calculated at the PBE level.

Its space-group type is P4/mmm, No. 123. For the total energy, the calculation gives -0.226 Ry per atom. As for the energy of formation from the pure elements: 0.100 eV/atom. Its total magnetization is 0.00 μB/f.u.

a b c (Å): 4.6425 4.6425 3.3811
angles (deg): 90.00 90.00 90.00
Positions (direct):
Li1 0.0000 0.5000 0.0000
Li2 0.5000 0.0000 0.0000
Zr1 0.0000 0.0000 0.5000
Hg1 0.5000 0.5000 0.5000


Entry 5:
Below is ZrOsSe2 after structural relaxation, with properties calculated at the PBE level.

Its space-group type is Pmm2, No. 25. For the total energy, the calculation gives -0.514 Ry per atom. For the relative energy among the computed polymorphs, the calculation gives 0.224 eV per atom. For the uncorrected formation energy, the calculation gives -0.305 eV per atom. Its total magnetization is 0.00 μB/f.u.

a b c (Å): 3.3453 3.6700 6.0234
angles (deg): 90.00 90.00 90.00
Positions (direct):
Zr1 0.0000 0.0000 0.0000
Os1 0.5000 0.5000 0.3259
Se1 0.0000 0.0000 0.4391
Se2 0.5000 0.5000 0.7918


Entry 6:
Below is CrSb2As after structural relaxation, with properties calculated at the PBE level.

Its space-group type is Cm, No. 8. For the total energy, the calculation gives -0.406 Ry per atom. For the uncorrected formation energy, the calculation gives 0.104 eV per atom. Its total magnetization is 0.00 μB/f.u.

a b c (Å): 4.5667 4.5667 6.6345
angles (deg): 107.47 107.47 42.16
Positions (direct):
Cr1 0.0000 0.0000 0.0000
Sb1 0.3832 0.3832 0.6611
Sb2 0.5684 0.5684 0.3378
As1 0.7100 0.7100 0.9939


Entry 7:
Below is Rb3ZrAu after structural relaxation, with properties calculated at the PBE level.

Its space-group type is Pm-3m, No. 221. For the total energy, the calculation gives -0.159 Ry per atom. As for the energy of formation from the pure elements: 0.779 eV/atom. For the relative energy among the computed polymorphs, the calculation gives 0.000 eV per atom. Its total magnetization is 4.00 μB/f.u.

a b c (Å): 6.5899 6.5899 6.5899
angles (deg): 90.00 90.00 90.00
Positions (direct):
Rb1 0.0000 0.0000 0.5000
Rb2 0.0000 0.5000 0.0000
Rb3 0.5000 0.0000 0.0000
Zr1 0.5000 0.5000 0.5000
Au1 0.0000 0.0000 0.0000


Entry 8:
Below is Pm3TmIn3Te8 after structural relaxation, with properties calculated at the PBE level.

Its space-group type is R-3m, No. 166. For the total energy, the calculation gives -0.330 Ry per atom. For the uncorrected formation energy, the calculation gives -1.014 eV per atom. Its total magnetization is 0.00 μB/f.u.

a b c (Å): 9.4242 9.4242 9.4242
angles (deg): 56.29 56.29 56.29
Positions (direct):
Pm1 0.0000 0.5000 0.5000
Pm2 0.5000 0.0000 0.5000
Pm3 0.5000 0.5000 0.0000
Tm1 0.0000 0.0000 0.0000
In1 0.0000 0.0000 0.5000
In2 0.0000 0.5000 0.0000
In3 0.5000 0.0000 0.0000
Te1 0.2380 0.2380 0.7504
Te2 0.2380 0.7504 0.2380
Te3 0.2496 0.7620 0.7620
Te4 0.2555 0.2555 0.2555
Te5 0.7445 0.7445 0.7445
Te6 0.7504 0.2380 0.2380
Te7 0.7620 0.2496 0.7620
Te8 0.7620 0.7620 0.2496


Entry 9:
Below is RbCrAs2Br after structural relaxation, with properties calculated at the PBE level.

Its space-group type is P4/mmm, No. 123. For the total energy, the calculation gives -0.338 Ry per atom. For the relative energy among the computed polymorphs, the calculation gives 0.000 eV per atom. For the uncorrected formation energy, the calculation gives -0.282 eV per atom. Its total magnetization is 1.73 μB/f.u.

a b c (Å): 4.7031 4.7031 6.2426
angles (deg): 90.00 90.00 90.00
Positions (direct):
Rb1 0.0000 0.0000 0.0000
Cr1 0.5000 0.5000 0.5000
As1 0.0000 0.5000 0.5000
As2 0.5000 0.0000 0.5000
Br1 0.5000 0.5000 0.0000


Entry 10:
Below is In2MoCl after structural relaxation, with properties calculated at the PBE level.

Its space-group type is Cm, No. 8. For the total energy, the calculation gives -0.328 Ry per atom. For the relative energy among the computed polymorphs, the calculation gives 0.000 eV per atom. For the uncorrected formation energy, the calculation gives 0.081 eV per atom. Its total magnetization is 0.12 μB/f.u.

a b c (Å): 5.6921 5.6921 5.2660
angles (deg): 108.07 108.07 31.22
Positions (direct):
In1 0.0000 0.0000 0.0000
In2 0.2036 0.2036 0.6437
Mo1 0.4637 0.4637 0.5065
Cl1 0.7942 0.7942 0.2308


Entry 11:
Below is TlSiIO6 after structural relaxation, with properties calculated at the PBE level.

Its space-group type is P312, No. 149. For the total energy, the calculation gives -0.402 Ry per atom. For the uncorrected formation energy, the calculation gives -1.127 eV per atom. Its total magnetization is 0.00 μB/f.u.

a b c (Å): 4.9589 4.9589 6.4857
angles (deg): 90.00 90.00 120.00
Positions (direct):
Tl1 0.0000 0.0000 0.0000
Si1 0.3333 0.6667 0.5000
I1 0.6667 0.3333 0.5000
O1 0.0147 0.3915 0.6626
O2 0.0147 0.6232 0.3374
O3 0.3768 0.3915 0.3374
O4 0.3768 0.9853 0.6626
O5 0.6085 0.6232 0.6626
O6 0.6085 0.9853 0.3374


Entry 12:
Below is BaLi2Pr2Pb2 after structural relaxation, with properties calculated at the PBE level.

Its space-group type is R-3m, No. 166. For the total energy, the calculation gives -0.268 Ry per atom. As for the energy of formation from the pure elements: -0.394 eV/atom. Its total magnetization is 0.00 μB/f.u.

a b c (Å): 10.4559 10.4559 10.4559
angles (deg): 28.01 28.01 28.01
Positions (direct):
Ba1 0.0000 0.0000 0.0000
Li1 0.4209 0.4209 0.4209
Li2 0.5791 0.5791 0.5791
Pr1 0.1321 0.1321 0.1321
Pr2 0.8679 0.8679 0.8679
Pb1 0.2525 0.2525 0.2525
Pb2 0.7475 0.7475 0.7475